Density functional theory data (GGA-PBEsol) for crystalline Si2HO at its relaxed geometry.

The space group is Fm-3m (No. 225) and the conventional cell measures 5.469, 5.469 and 5.469 Å, with angles of 90.00, 90.00 and 90.00 degrees. Symmetry generates all atoms from Si at (0.250, 0.250, 0.250), H at (0.000, 0.000, 0.000) and O at (0.000, 0.000, 0.500).

Its total energy is -72.753 eV for the cell shown. Its total magnetic moment is 0.00 Bohr magnetons per cell.


Density functional theory data (GGA-PBEsol) for crystalline Si3HO at its relaxed geometry.

The space group is Pm-3m (No. 221) and the conventional cell measures 4.142, 4.142 and 4.142 Å, with angles of 90.00, 90.00 and 90.00 degrees. Symmetry generates all atoms from Si at (0.000, 0.000, 0.500), H at (0.500, 0.500, 0.500) and O at (0.000, 0.000, 0.000).

Its total energy is -22.011 eV for the cell shown. Its total magnetic moment is 0.00 Bohr magnetons per cell.


Density functional theory data (GGA-PBEsol) for crystalline Zn4Si2H2O9 at its relaxed geometry.

The space group is Cm (No. 8) and the conventional cell measures 9.526, 10.918 and 5.087 Å, with angles of 90.00, 122.03 and 90.00 degrees. Symmetry generates all atoms from Zn at (0.000, 0.155, 0.000), Zn at (0.073, 0.344, 0.572), Si at (0.284, 0.357, 0.294), H at (0.231, 0.000, 0.257), H at (0.438, 0.000, 0.704), O at (0.108, 0.000, 0.144), O at (0.111, 0.303, 0.243), O at (0.285, 0.344, 0.976), O at (0.289, 0.500, 0.399), O at (0.446, 0.292, 0.586) and O at (0.457, 0.000, 0.532).

Its total energy is -206.453 eV for the cell shown. Its total magnetic moment is 0.00 Bohr magnetons per cell.


Density functional theory data (GGA-PBEsol) for crystalline SmH3O3 at its relaxed geometry.

The space group is P6_3/m (No. 176) and the conventional cell measures 6.3115, 6.3115 and 3.6078 Å, with angles of 90.00, 90.00 and 120.00 degrees. Symmetry generates all atoms from Sm at (0.3333, 0.6667, 0.2500), H at (0.1330, 0.8560, 0.7500) and O at (0.0819, 0.3914, 0.7500).

Its total energy is -89.006 eV for the cell shown. Its total magnetic moment is 0.00 Bohr magnetons per cell.


Density functional theory data (GGA-PBEsol) for crystalline Sr2SnH8O8 at its relaxed geometry.

The space group is P2_1/c (No. 14) and the conventional cell measures 6.986, 9.857 and 5.870 Å, with angles of 90.00, 114.07 and 90.00 degrees. Symmetry generates all atoms from Sr at (0.199, 0.103, 0.357), Sn at (0.500, 0.000, 0.000), H at (0.029, 0.682, 0.810), H at (0.179, 0.635, 0.508), H at (0.271, 0.644, 0.103), H at (0.489, 0.249, 0.829), O at (0.060, 0.710, 0.982), O at (0.205, 0.535, 0.494), O at (0.379, 0.179, 0.812) and O at (0.413, 0.591, 0.154).

Its total energy is -212.877 eV for the cell shown. Its total magnetic moment is 0.00 Bohr magnetons per cell.


Density functional theory data (GGA-PBEsol) for crystalline SrH4O3 at its relaxed geometry.

The space group is Pmc2_1 (No. 26) and the conventional cell measures 3.653, 6.068 and 6.548 Å, with angles of 90.00, 90.00 and 90.00 degrees. Symmetry generates all atoms from Sr at (0.000, 0.129, 0.000), H at (0.213, 0.381, 0.574), H at (0.500, 0.208, 0.354), H at (0.500, 0.468, 0.843), O at (0.000, 0.286, 0.626), O at (0.500, 0.065, 0.285) and O at (0.500, 0.448, 0.992).

Its total energy is -86.744 eV for the cell shown. The excess energy over the best structure of this formula in the dataset comes out at 0.0 kJ/mol of atoms. Its total magnetic moment is 0.00 Bohr magnetons per cell.